A relaxed structure of NdMgGa, computed with GGA-PBE.

Cell lengths 7.4652, 7.4652, 4.5501 Å; angles 90.00, 90.00, 120.00 degrees
Last column: nearest neighbours and their distance in Å.
Positions (direct):
Nd: 0.0000 0.4227 0.0000  5 Ga 3.16-3.19, 2 Mg 3.38
Nd: 0.4227 0.0000 0.0000  5 Ga 3.16-3.19, 2 Mg 3.38
Nd: 0.5773 0.5773 0.0000  5 Ga 3.16-3.19, 2 Mg 3.38
Mg: 0.0000 0.7572 0.5000  4 Ga 2.89-2.91, 2 Mg 3.14
Mg: 0.2428 0.2428 0.5000  4 Ga 2.89-2.91, 2 Mg 3.14
Mg: 0.7572 0.0000 0.5000  4 Ga 2.89-2.91, 2 Mg 3.14
Ga: 0.0000 0.0000 0.0000  6 Mg 2.91, 3 Nd 3.16
Ga: 0.3333 0.6667 0.5000  3 Mg 2.89, 6 Nd 3.19
Ga: 0.6667 0.3333 0.5000  3 Mg 2.89, 6 Nd 3.19

- Raw total energy: -32.597 eV per cell
- Magnetic moment: 0.00 μB/cell
- Formation enthalpy at 0 K: -47 kJ/mol of atoms